Record 1
LiAcAg2 after structural relaxation, computed with GGA-PBE.

The structure in POSCAR format:
```
LiAcAg2
1.0
-0.524 -3.595 3.229
3.890 1.155 1.917
-6.327 5.021 4.563
Li Ac Ag
2 2 4
Cartesian
-3.150 0.826 5.895
0.189 1.755 3.814
-1.662 4.120 6.146
-1.299 -1.539 3.563
-2.351 1.937 3.604
-0.610 0.644 6.105
-4.424 2.454 7.501
1.463 0.127 2.208
```

Output
VASP energy in eV per atom: -3.1530
Space-group type: No. 63
Offset from the most stable computed form in meV/atom: 26
E_form in eV/atom: -0.222

***

Record 2
MgTlN3 after structural relaxation, computed with GGA-PBE.

The structure in POSCAR format:
```
MgTlN3
1.0
-0.048 0.119 4.107
0.116 -4.105 0.121
4.107 0.118 0.044
Tl Mg N
1 1 3
Cartesian
2.088 -1.934 2.136
0.000 0.000 0.000
0.058 -2.053 0.060
2.053 0.059 0.022
-0.024 0.060 2.053
```

Output
Formation energy (no corrections) in meV/atom: 1647
VASP energy in eV per atom: -4.1408
Space-group type: No. 221

***

Record 3
Ba6LiRh after structural relaxation, computed with GGA-PBE.

The structure in POSCAR format:
```
Ba6LiRh
1.0
-1.333 2.648 -7.078
5.034 -5.454 -1.950
-8.467 -2.767 6.141
Ba Li Rh
6 1 1
Cartesian
-2.883 0.170 -0.928
-0.528 -2.826 0.968
-4.238 -2.747 -3.855
-1.883 -5.743 -1.959
0.795 -1.089 -2.707
-5.561 -4.484 -0.180
-4.233 -1.384 3.070
0.000 0.000 0.000
```

Output
VASP energy in eV per atom: -2.6606
Space-group type: No. 12
E_form in eV/atom: -0.060

***

Record 4
TcNi2W after structural relaxation, computed with GGA-PBE.

The structure in POSCAR format:
```
TcNi2W
1.0
-5.995 1.271 2.617
-1.715 -6.385 -0.828
-2.962 -3.096 3.201
Ni Tc W
4 2 2
Cartesian
-4.710 -0.776 2.336
-2.553 -4.608 0.606
-5.111 -4.231 3.073
-8.970 -6.806 3.965
-3.855 -2.557 0.895
-4.266 -6.019 1.634
0.000 0.000 0.000
-6.406 -2.191 3.356
```

Output
VASP energy in eV per atom: -8.1497
Space-group type: No. 122
Offset from the most stable computed form in meV/atom: 599
E_form in eV/atom: 0.571

***

Record 5
NdRhCN after structural relaxation, computed with GGA-PBE.

The structure in POSCAR format:
```
NdRhCN
1.0
3.773 0.000 0.000
0.000 3.773 0.000
0.000 0.000 7.487
Nd Rh C N
2 2 2 2
Cartesian
0.000 1.887 6.212
1.887 0.000 1.275
0.000 0.000 3.744
1.887 1.887 3.744
0.000 1.887 2.561
1.887 0.000 4.927
1.887 0.000 6.297
0.000 1.887 1.190
```

Output
Formation energy (no corrections) in meV/atom: -575
VASP energy in eV per atom: -7.9923
Space-group type: No. 129

***

Record 6
NaNd6O8 after structural relaxation, computed with GGA-PBE.

The structure in POSCAR format:
```
NaNd6O8
1.0
7.146 0.000 0.000
3.573 6.189 0.000
3.573 2.063 5.194
Na Nd O
1 6 8
Cartesian
0.000 0.000 0.000
6.290 2.069 3.874
8.499 2.356 1.320
4.937 3.839 1.320
9.355 4.413 3.874
5.793 5.895 3.874
8.002 6.182 1.320
6.181 1.713 1.386
8.753 2.084 3.808
4.574 3.755 3.808
10.719 6.189 5.086
3.573 2.063 0.107
9.718 4.497 1.386
5.539 6.168 1.386
8.111 6.539 3.808
```

Output
Formation energy (no corrections) in meV/atom: -2794
VASP energy in eV per atom: -7.4334
Space-group type: No. 148

***

Record 7
Tm3Ga2Ag after structural relaxation, computed with GGA-PBE.

The structure in POSCAR format:
```
Tm3Ga2Ag
1.0
-0.216 3.075 3.966
3.232 -3.845 -0.023
8.564 7.231 -5.140
Tm Ga Ag
6 4 2
Cartesian
5.654 1.477 -0.837
1.619 1.348 2.225
6.458 5.453 -3.876
2.106 1.778 -1.264
9.961 5.113 -3.422
5.926 4.984 -0.360
4.282 3.615 -2.570
3.554 -0.296 0.424
8.027 6.757 -1.621
0.000 0.000 0.000
7.842 3.324 -2.150
3.738 3.137 0.953
```

Output
VASP energy in eV per atom: -4.2145
Space-group type: No. 164
Offset from the most stable computed form in meV/atom: 0
E_form in eV/atom: -0.495

***

Record 8
CsGa3O after structural relaxation, computed with GGA-PBE.

The structure in POSCAR format:
```
CsGa3O
1.0
-3.903 -3.162 0.539
3.196 -3.905 0.230
0.273 0.519 5.018
Cs O Ga
1 1 3
Cartesian
-0.217 -3.274 2.894
0.000 0.000 0.000
1.598 -1.953 0.115
0.136 0.260 2.509
-1.951 -1.581 0.270
```

Output
Formation energy (no corrections) in meV/atom: 64
VASP energy in eV per atom: -2.9142
Space-group type: No. 221
Offset from the most stable computed form in meV/atom: 0